(1)
Entry from Alexandria via LeMat-Bulk: an optimized crystal structure of Rb4NaBr5 (PBE).

Energy above the lowest structure with this stoichiometry (eV/atom): 0.013
SG: I4/mmm (139)
Formation energy from raw total energies (eV/atom): -1.680
Total magnetic moment (μB per atom): 0.0081

```
10
Lattice="-2.441 2.441 17.008 2.441 -2.441 17.008 2.441 2.441 -17.008" Properties=species:S:1:pos:R:3 pbc="T T T"
Rb 0.000 0.000 3.297
Rb 0.000 0.000 10.306
Rb 0.000 0.000 23.710
Rb 0.000 0.000 30.720
Na 0.000 0.000 17.008
Br 0.000 0.000 0.000
Br 0.000 0.000 6.785
Br 0.000 0.000 13.937
Br 0.000 0.000 20.080
Br 0.000 0.000 27.231
```

=====

(2)
Entry from Alexandria via LeMat-Bulk: an optimized crystal structure of FeNiPt2 (PBE).

SG: Cmmm (65)
Total magnetic moment (μB per atom): 1.1416
ΔH_f (0 K) (meV/atom): -182

```
4
Lattice="2.736 -3.688 0.000 2.736 3.688 0.000 0.000 0.000 2.735" Properties=species:S:1:pos:R:3 pbc="T T T"
Fe 0.000 0.000 0.000
Ni 2.736 0.000 0.000
Pt 1.368 1.844 1.367
Pt 1.368 -1.844 1.367
```

=====

(3)
Entry from Alexandria via LeMat-Bulk: an optimized crystal structure of Er4AlCd (PBE).

Energy above the lowest structure with this stoichiometry (eV/atom): 0.000
SG: C2/m (12)
Total magnetic moment (μB per atom): 0.0000
ΔH_f (0 K) (meV/atom): -210

```
6
Lattice="6.846 -1.730 0.000 6.846 1.730 0.000 -1.791 0.000 6.760" Properties=species:S:1:pos:R:3 pbc="T T T"
Er 1.495 0.000 2.250
Er 0.634 0.000 5.547
Er 11.267 0.000 1.213
Er 10.407 0.000 4.510
Al 5.951 0.000 3.380
Cd 6.846 0.000 0.000
```

=====

Question: Number 2 is which compound?
Answer: FeNiPt2

=====

Question: Among the records above, which one has the highest total magnetic moment?
Answer: FeNiPt2

=====

Question: Which of these has the highest total magnetic moment?
Answer: FeNiPt2

=====

Question: Among the records above, which one has the lowest total magnetic moment?
Answer: Er4AlCd